Record 1
A geometry-optimized MgZrHgRh structure. Source: Alexandria, functional GGA-PBE.

The structure belongs to space group F-43m (No. 216); the cell edges are 6.7013, 6.7013 and 6.7013 Å and the angles 90.00°, 90.00° and 90.00°. Symmetry generates all atoms from Mg at (0.0000, 0.0000, 0.0000), Zr at (0.0000, 0.0000, 0.5000), Hg at (0.2500, 0.2500, 0.2500) and Rh at (0.2500, 0.2500, 0.7500).

The calculated formation energy comes out at -0.3801 eV per atom. The uncorrected energy is -4.829 eV/atom. As for the calculated volume: 301 Å³/cell. For the density of states at the Fermi level, the calculation gives 12.2 states/eV/cell. For the relative energy among the computed polymorphs, the calculation gives 36.5 kJ/mol of formula units.

Record 2
A geometry-optimized Mg2HgRu structure. Source: Alexandria, functional GGA-PBE.

The structure belongs to space group I4/mmm (No. 139); the cell edges are 4.2954, 4.2954 and 7.5154 Å and the angles 90.00°, 90.00° and 90.00°. Symmetry generates all atoms from Mg at (0.0000, 0.5000, 0.2500), Hg at (0.0000, 0.0000, 0.0000) and Ru at (0.0000, 0.0000, 0.5000).

The calculated formation energy comes out at -0.0183 eV per atom. The uncorrected energy is -3.210 eV/atom. As for the calculated volume: 139 Å³/cell. For the density of states at the Fermi level, the calculation gives 4.5 states/eV/cell.

Record 3
A geometry-optimized Mg2HgRu structure. Source: Alexandria, functional GGA-PBE.

The structure belongs to space group F-43m (No. 216); the cell edges are 6.5819, 6.5819 and 6.5819 Å and the angles 90.00°, 90.00° and 90.00°. Symmetry generates all atoms from Mg at (0.0000, 0.0000, 0.0000), Mg at (0.2500, 0.2500, 0.2500), Hg at (0.0000, 0.0000, 0.5000) and Ru at (0.2500, 0.2500, 0.7500).

The calculated formation energy comes out at 0.0865 eV per atom. The uncorrected energy is -3.105 eV/atom. As for the calculated volume: 285 Å³/cell. For the density of states at the Fermi level, the calculation gives 10.6 states/eV/cell.

Record 4
A geometry-optimized MgHgRu4 structure. Source: Alexandria, functional GGA-PBE.

The structure belongs to space group F-43m (No. 216); the cell edges are 7.3501, 7.3501 and 7.3501 Å and the angles 90.00°, 90.00° and 90.00°. Symmetry generates all atoms from Mg at (0.0000, 0.0000, 0.0000), Hg at (0.2500, 0.2500, 0.2500) and Ru at (0.1249, 0.1249, 0.6249).

The calculated formation energy comes out at 0.4163 eV per atom. The uncorrected energy is -6.084 eV/atom. As for the calculated volume: 397 Å³/cell. For the density of states at the Fermi level, the calculation gives 29.4 states/eV/cell.

Record 5
A geometry-optimized Mg2HgRu structure. Source: Alexandria, functional GGA-PBE.

The structure belongs to space group Pmm2 (No. 25); the cell edges are 3.0200, 4.1530 and 5.7834 Å and the angles 90.00°, 90.00° and 90.00°. Symmetry generates all atoms from Mg at (0.0000, 0.0000, 0.0000), Mg at (0.5000, 0.5000, 0.2884), Hg at (0.5000, 0.5000, 0.7596) and Ru at (0.0000, 0.0000, 0.4825).

The calculated formation energy comes out at 0.0922 eV per atom. The uncorrected energy is -3.099 eV/atom. As for the calculated volume: 73 Å³/cell. For the density of states at the Fermi level, the calculation gives 2.4 states/eV/cell.

Record 6
A geometry-optimized MgHg2Ru structure. Source: Alexandria, functional GGA-PBE.

The structure belongs to space group P4/mmm (No. 123); the cell edges are 3.4705, 3.4705 and 6.1557 Å and the angles 90.00°, 90.00° and 90.00°. Symmetry generates all atoms from Mg at (0.0000, 0.0000, 0.0000), Hg at (0.5000, 0.5000, 0.2567) and Ru at (0.0000, 0.0000, 0.5000).

The calculated formation energy comes out at 0.2323 eV per atom. The uncorrected energy is -2.636 eV/atom. As for the calculated volume: 74 Å³/cell. For the density of states at the Fermi level, the calculation gives 2.7 states/eV/cell.